## NaPPt3 (PBE)

Data for crystalline NaPPt3 at its relaxed geometry.

Lattice parameters (Å, degrees): 4.5582 4.5582 4.5582 90.00 90.00 90.00
Space group Pm-3m (No. 221)
Unique sites:
Na1 0.0000 0.0000 0.0000
P1 0.5000 0.5000 0.5000
Pt1 0.0000 0.5000 0.5000

Computed properties:
- DFT total energy (hartree per atom) = -0.18880
- magnetic moment (μB/cell) = 0.00
- offset from the most stable computed form (meV per atom) = 345



## BeHgAsSe2 (PBE)

Data for crystalline BeHgAsSe2 at its relaxed geometry.

Lattice parameters (Å, degrees): 4.9104 4.9104 4.2914 90.00 90.00 90.00
Space group P4/mmm (No. 123)
Unique sites:
Be1 0.0000 0.0000 0.0000
Hg1 0.5000 0.5000 0.5000
As1 0.0000 0.0000 0.5000
Se1 0.0000 0.5000 0.0000

Computed properties:
- DFT total energy (hartree per atom) = -0.10048
- magnetic moment (μB/cell) = 0.00
- offset from the most stable computed form (meV per atom) = 0